[1]
This record from Alexandria describes AlCo2 after structural relaxation. The functional is PBE.

abc: 5.8595 5.8595 3.7119
angles: 90.00 90.00 120.00
Last column: magnetic moment on the atom in μB.
Fractional positions:
Co (0.0000, 0.5658, 0.5000)  1.18
Al (0.6667, 0.3333, 0.0000)  -0.04
Co (0.4342, 0.4342, 0.5000)  1.18
Al (0.0000, 0.0000, 0.5000)  -0.04
Al (0.3333, 0.6667, 0.0000)  -0.04
Co (0.0000, 0.2409, 0.0000)  0.94
Co (0.2409, 0.0000, 0.0000)  0.94
Co (0.7591, 0.7591, 0.0000)  0.94
Co (0.5658, 0.0000, 0.5000)  1.18

Output
ΔE_f   0.00 eV/atom

=====

[2]
This record from Alexandria describes Cs2KRb5S after structural relaxation. The functional is PBE.

abc: 10.1052 10.1052 10.1052
angles: 89.65 120.20 120.20
Fractional positions:
Rb (0.5400, 0.7693, 0.7693)
Cs (0.5000, 0.7493, 0.2493)
S (0.0000, 0.9977, 0.9977)
K (0.0000, 0.7802, 0.7802)
Cs (0.5000, 0.2493, 0.7493)
Rb (0.4600, 0.2293, 0.2293)
Rb (0.0000, 0.2262, 0.2262)
Rb (0.0000, 0.2293, 0.7693)
Rb (0.0000, 0.7693, 0.2293)

Output
E_form (uncorrected)   -0.29 eV/atom

=====

[3]
This record from Alexandria describes CuIrW2 after structural relaxation. The functional is PBE.

abc: 2.7835 2.7835 7.6762
angles: 90.00 90.00 90.00
Fractional positions:
Ir (0.5000, 0.5000, 0.7448)
Cu (0.0000, 0.0000, 0.5062)
W (0.5000, 0.5000, 0.2679)
W (0.0000, 0.0000, 0.9812)

Output
Relative energy among the computed polymorphs   69 meV per atom
ΔE_f   0.10 eV/atom

=====

[4]
This record from Alexandria describes Be4CuBr after structural relaxation. The functional is PBE.

abc: 4.6165 4.6165 4.6165
angles: 60.00 60.00 60.00
Fractional positions:
Be (0.3724, 0.3724, 0.3724)
Be (0.3724, 0.8828, 0.3724)
Cu (0.0000, 0.0000, 0.0000)
Br (0.7500, 0.7500, 0.7500)
Be (0.3724, 0.3724, 0.8828)
Be (0.8828, 0.3724, 0.3724)

Output
E_form (uncorrected)   0.64 eV/atom

=====

[5]
This record from Alexandria describes RbSmCuCl5 after structural relaxation. The functional is PBE.

abc: 7.5047 7.5047 10.1804
angles: 103.43 103.43 106.76
Last column: magnetic moment on the atom in μB.
Fractional positions:
Cl (0.2395, 0.3814, 0.5796)  0.00
Cl (0.9205, 0.0795, 0.7500)  0.00
Cl (0.7605, 0.6186, 0.4204)  0.00
Sm (0.0000, 0.0000, 0.0000)  0.00
Cu (0.6893, 0.3107, 0.2500)  0.13
Cl (0.3078, 0.9002, 0.6132)  0.00
Cl (0.9002, 0.3078, 0.1132)  0.00
Cl (0.0795, 0.9205, 0.2500)  0.00
Cl (0.6922, 0.0998, 0.3868)  0.00
Sm (0.0000, 0.0000, 0.5000)  0.00
Rb (0.3495, 0.6505, 0.2500)  0.00
Cl (0.0998, 0.6922, 0.8868)  0.00
Rb (0.6505, 0.3495, 0.7500)  0.00
Cl (0.6186, 0.7605, 0.9204)  0.00
Cu (0.3107, 0.6893, 0.7500)  0.13
Cl (0.3814, 0.2395, 0.0796)  0.00

Output
E_form (uncorrected)   -1.74 eV/atom

=====

[6]
This record from Alexandria describes Be3CdRh after structural relaxation. The functional is PBE.

abc: 4.2474 4.2474 4.2474
angles: 90.00 90.00 90.00
Fractional positions:
Rh (0.5000, 0.5000, 0.5000)
Cd (0.0000, 0.0000, 0.0000)
Be (0.0000, 0.0000, 0.5000)
Be (0.0000, 0.5000, 0.0000)
Be (0.5000, 0.0000, 0.0000)

Output
Relative energy among the computed polymorphs   904 meV per atom
ΔE_f   1.22 eV/atom

=====

Let's list E in order: -5.9886; -1.5982; -9.6158; -2.8023; -4.1149; -2.6665 eV/atom.